Computed, not measured: K4FeSe4 after structural relaxation at the PBE level of DFT.

a b c (Å): 6.877 9.324 9.324
angles (deg): 90.00 90.00 90.00
Each line ends with the local moment (μB).
Element x y z (fractional)
K 0.668 0.000 0.271  0.01
Se 0.177 0.000 0.785  0.09
K 0.668 0.000 0.729  0.01
Se 0.323 0.500 0.285  0.09
Fe 0.000 0.000 0.000  3.00
K 0.832 0.500 0.771  0.01
Se 0.177 0.000 0.215  0.09
K 0.332 0.271 0.000  0.01
Se 0.323 0.500 0.715  0.09
K 0.168 0.771 0.500  0.01
K 0.832 0.500 0.229  0.01
Fe 0.500 0.500 0.500  3.00
Se 0.823 0.215 0.000  0.09
Se 0.823 0.785 0.000  0.09
Se 0.677 0.715 0.500  0.09
Se 0.677 0.285 0.500  0.09
K 0.168 0.229 0.500  0.01
K 0.332 0.729 0.000  0.01

Calculated values
Space group: P4_2/nmc, No. 137

=====

Computed, not measured: K2FeSe after structural relaxation at the PBE level of DFT.

a b c (Å): 7.487 5.251 4.526
angles (deg): 90.04 52.74 116.87
Each line ends with the local moment (μB).
Element x y z (fractional)
K 0.500 0.000 0.500  -0.01
Se 0.000 0.500 0.500  0.02
Fe 0.500 0.500 0.000  3.05
K 0.000 0.000 0.000  -0.01

Calculated values
Space group: Cmmm, No. 65

=====

Formation energy (no corrections) list, top to bottom, in eV/atom: -0.8845, 0.2027
M_tot list, top to bottom, in μB per formula unit: 3.996, 3.185
DFT total energy list, top to bottom, in eV/atom: -3.8613, -3.3328